Compound: Zn2SiHO5
Source: Alexandria via LeMat-Bulk
Functional: PBE-GGA
Structure: relaxed

The structure in extended XYZ format:
```
18
Lattice="6.6955 -2.8691 -1.1861 3.1156 6.5560 -1.3340 -3.1182 -3.6131 5.6294" Properties=species:S:1:pos:R:3 pbc="T T T"
Zn 4.4840 -4.5505 3.1780
Zn 2.2089 4.6781 0.0097
Zn 2.3365 -0.6592 0.5107
Zn 4.3564 0.7868 2.6770
Si 1.4538 2.0619 1.8376
Si 5.2391 -1.9008 1.3990
H 2.2080 -3.5097 3.4613
H 1.3684 -1.9884 2.4185
O 1.4760 3.6853 1.5617
O 5.2161 -2.7443 2.8133
O 2.5959 1.6562 2.9526
O 4.0963 -0.7152 1.4224
O 1.7151 1.2481 0.4400
O 4.9793 -2.9104 0.1352
O 2.5565 -4.4398 3.4574
O 1.0204 -1.6563 1.5494
O -0.0015 1.7301 2.5251
O 1.7876 -1.9977 4.0365
```

Magnetic moment = 2.08 μB/cell
Total DFT energy (no corrections) = -5.61 eV/atom
Fermi-level density of states = 3.0 states/eV per cell

***

Compound: PI2BrN
Source: Alexandria via LeMat-Bulk
Functional: PBE-GGA
Structure: relaxed

The structure in extended XYZ format:
```
5
Lattice="7.6407 0.0000 0.0000 0.0000 7.6407 0.0000 0.0000 0.0000 3.5454" Properties=species:S:1:pos:R:3 pbc="T T T"
I 0.0000 3.8203 0.0000
I 3.8203 0.0000 0.0000
P 3.8203 3.8203 1.7727
Br 0.0000 0.0000 0.0000
N 0.0000 0.0000 1.7727
```

Uncorrected formation energy = 1.65 eV per atom
Magnetic moment = 2.91 μB/cell
Distance to the lowest polymorph of the same formula = 1.095 eV/atom
Fermi-level density of states = 3.9 states/eV per cell

***

Compound: YAg2Os
Source: Alexandria via LeMat-Bulk
Functional: PBE-GGA
Structure: relaxed

The structure in extended XYZ format:
```
4
Lattice="-1.8937 1.5172 9.9721 -1.6887 -1.3921 10.0270 0.7174 0.2438 10.2350" Properties=species:S:1:pos:R:3 pbc="T T T"
Ag -2.8475 0.3666 30.0488
Ag -1.4501 0.1867 15.3023
Os -0.7163 0.0922 7.5585
Y -2.1488 0.2767 22.6755
```

E_form = 0.62 eV per atom
Magnetic moment = 0.00 μB/cell
Distance to the lowest polymorph of the same formula = 0.453 eV/atom
Fermi-level density of states = 3.9 states/eV per cell

***

Compound: NdIn2Ir2
Source: Alexandria via LeMat-Bulk
Functional: PBE-GGA
Structure: relaxed

The structure in extended XYZ format:
```
5
Lattice="-2.6100 -1.3755 -4.3718 1.1055 -4.1651 -3.0409 -3.5029 -4.9516 -0.5992" Properties=species:S:1:pos:R:3 pbc="T T T"
Nd 0.5528 -2.0825 -1.5205
In -0.7969 -4.6758 -3.1879
In -4.2105 -5.8164 -4.8241
Ir -1.2231 -6.2997 -5.4018
Ir -3.7843 -4.1925 -2.6102
```

E_form = -0.35 eV per atom
Magnetic moment = 0.00 μB/cell
Fermi-level density of states = 2.3 states/eV per cell

***

Compound: Na2MnHgBr6
Source: Alexandria via LeMat-Bulk
Functional: PBE-GGA
Structure: relaxed

The structure in extended XYZ format:
```
10
Lattice="-4.7927 -5.2974 1.3691 2.3317 -6.7758 1.3015 -0.4867 -2.7232 7.1271" Properties=species:S:1:pos:R:3 pbc="T T T"
Na -1.5011 -7.4938 4.4370
Na -0.5059 -2.7935 6.7884
Mn -0.8063 -3.9741 1.1323
Hg -2.2749 -11.3592 6.1139
Br -2.4203 -5.1626 2.8602
Br 1.1252 -8.2913 3.3308
Br -3.3796 -9.7041 3.8632
Br -0.8534 -9.0967 6.9533
Br -3.4457 -6.4615 6.5464
Br 0.1485 -5.6013 6.1677
```

Uncorrected formation energy = -0.95 eV per atom
Magnetic moment = 5.00 μB/cell

***

Compound: MgNiBr
Source: Alexandria via LeMat-Bulk
Functional: PBE-GGA
Structure: relaxed

The structure in extended XYZ format:
```
3
Lattice="-3.3145 0.9225 2.6951 0.4146 -0.7018 4.2937 0.2959 3.3847 2.7489" Properties=species:S:1:pos:R:3 pbc="T T T"
Br 0.0000 0.0000 0.0000
Mg -1.3020 1.8027 4.8688
Ni -1.9530 2.7040 7.3032
```

Uncorrected formation energy = 0.10 eV per atom
Magnetic moment = 0.00 μB/cell
Distance to the lowest polymorph of the same formula = 0.161 eV/atom
Fermi-level density of states = 1.3 states/eV per cell

***

Compound: CrIn6I8
Source: Alexandria via LeMat-Bulk
Functional: PBE-GGA
Structure: relaxed

The structure in extended XYZ format:
```
15
Lattice="-0.8127 2.3120 8.5702 -0.1838 -7.4329 4.9165 7.9362 -0.9658 3.9419" Properties=species:S:1:pos:R:3 pbc="T T T"
Cr 0.0000 0.0000 0.0000
In 5.4440 -3.9872 5.4516
In 3.8640 -6.8988 9.3580
In 7.0528 -1.8886 9.8380
In -0.1131 -4.1982 7.5906
In 3.0757 0.8120 8.0707
In 1.4957 -2.0995 11.9771
I 6.9940 -5.6750 8.2313
I 2.2310 -6.4510 6.1783
I 6.5172 -0.7625 6.4583
I 4.6255 -4.0570 11.6166
I 2.3142 -2.0298 5.8120
I 0.4225 -5.3243 10.9703
I 4.7087 0.3643 11.2503
I -0.0543 -0.4118 9.1974
```

Uncorrected formation energy = -0.39 eV per atom
Magnetic moment = 4.00 μB/cell
Fermi-level density of states = 6.6 states/eV per cell

***

Compound: AlGa3Ag2
Source: Alexandria via LeMat-Bulk
Functional: PBE-GGA
Structure: relaxed

The structure in extended XYZ format:
```
12
Lattice="-0.1712 1.6300 -2.7641 1.2264 -5.8755 -3.5407 -10.3482 1.0425 3.1236" Properties=species:S:1:pos:R:3 pbc="T T T"
Al -7.3937 1.0660 1.0865
Al -1.8994 -4.2689 -4.2677
Ga -5.1747 -0.1245 0.2471
Ga 0.2839 -4.1059 -2.4389
Ga -7.9292 -1.3046 -0.2782
Ga -4.1183 -3.0785 -3.4283
Ga -1.3639 -1.8984 -2.9030
Ga -9.5770 0.9030 -0.7423
Ag -5.6787 -2.4924 -1.1181
Ag -3.6144 -0.7106 -2.0631
Ag -7.9524 -2.6468 -2.9362
Ag -1.3406 -0.5562 -0.2450
```

E_form = 0.03 eV per atom
Magnetic moment = 0.00 μB/cell
Distance to the lowest polymorph of the same formula = 0.000 eV/atom
Fermi-level density of states = 2.9 states/eV per cell

***

Compound: BaLiSiPd
Source: Alexandria via LeMat-Bulk
Functional: PBE-GGA
Structure: relaxed

The structure in extended XYZ format:
```
4
Lattice="-2.1421 -3.7390 0.7256 2.7791 1.5434 2.9995 -5.3739 3.1168 0.1961" Properties=species:S:1:pos:R:3 pbc="T T T"
Ba -3.4046 -0.3518 1.2947
Li -0.3788 -1.8616 2.4474
Si -4.7779 2.9100 0.8902
Pd -3.5394 2.6244 3.0749
```

Uncorrected formation energy = -0.53 eV per atom
Magnetic moment = 0.00 μB/cell
Fermi-level density of states = 1.7 states/eV per cell

***

Compound: V3Cr4Mo
Source: Alexandria via LeMat-Bulk
Functional: PBE-GGA
Structure: relaxed

The structure in extended XYZ format:
```
8
Lattice="-2.2624 0.5428 1.8049 -2.4575 -2.4220 -2.3520 2.0874 -6.5810 4.5959" Properties=species:S:1:pos:R:3 pbc="T T T"
Cr 1.0437 -3.2905 2.2979
Cr 0.3271 -6.1161 2.2495
Cr 0.0000 0.0000 0.0000
Cr -0.6972 -2.8869 -0.0056
Mo -2.3600 -0.9396 -0.2735
V -0.5995 -1.4047 2.0730
V -1.3162 -4.2301 2.0244
V 0.4246 -4.6334 4.3278
```

E_form = -0.07 eV per atom
Magnetic moment = 0.00 μB/cell
Fermi-level density of states = 6.2 states/eV per cell

***

Compound: TlGaTe2I
Source: Alexandria via LeMat-Bulk
Functional: PBE-GGA
Structure: relaxed

The structure in extended XYZ format:
```
5
Lattice="-4.9588 1.7177 -1.4490 -2.0930 -2.2522 4.4930 0.8964 5.0947 2.9714" Properties=species:S:1:pos:R:3 pbc="T T T"
I 0.4482 2.5474 1.4857
Tl -3.0777 2.2801 3.0077
Te -1.0465 -1.1261 2.2465
Te -2.4794 0.8588 -0.7245
Ga 0.0000 0.0000 0.0000
```

Uncorrected formation energy = -0.05 eV per atom
Magnetic moment = 0.00 μB/cell
Distance to the lowest polymorph of the same formula = 0.000 eV/atom
Fermi-level density of states = 5.8 states/eV per cell

***

Compound: Li3ZnNi
Source: Alexandria via LeMat-Bulk
Functional: PBE-GGA
Structure: relaxed

The structure in extended XYZ format:
```
10
Lattice="-1.6499 3.4915 4.9011 1.3366 -6.0899 -0.2474 5.7769 0.8470 -2.2010" Properties=species:S:1:pos:R:3 pbc="T T T"
Li 4.6175 -0.9388 -1.5265
Li 2.4880 -4.4741 -0.5809
Li 4.4465 -2.2531 0.7910
Li 2.0029 -1.1411 -0.3229
Li 0.9804 0.3015 1.9840
Li 3.4423 -0.7624 3.0482
Zn 1.8114 -2.4777 1.9829
Zn 3.6336 0.5723 0.7457
Ni 4.9417 2.5183 0.3794
Ni 0.6609 -3.1165 0.0080
```

E_form = 0.03 eV per atom
Magnetic moment = 0.00 μB/cell
Distance to the lowest polymorph of the same formula = 0.000 eV/atom
Fermi-level density of states = 3.4 states/eV per cell